No. 1
Density functional theory data (PBE) for Ac2LaErS6 after structural relaxation.

The structure in CIF format:
```
data_Ac2LaErS6
_chemical_formula_sum 'Ac4 La2 Er2 S12'
_symmetry_space_group_name_H-M 'P 1'
_symmetry_Int_Tables_number 1
_cell_length_a 7.052
_cell_length_b 7.627
_cell_length_c 10.315
_cell_angle_alpha 90.00
_cell_angle_beta 90.69
_cell_angle_gamma 90.00
loop_
_symmetry_equiv_pos_as_xyz
'x,y,z'
loop_
_atom_site_label
_atom_site_type_symbol
_atom_site_fract_x
_atom_site_fract_y
_atom_site_fract_z
_atom_site_occupancy
Ac1 Ac 0.032 0.916 0.249 1
Ac2 Ac 0.532 0.584 0.749 1
Ac3 Ac 0.968 0.084 0.751 1
Ac4 Ac 0.468 0.416 0.251 1
La1 La 0.500 0.000 0.000 1
La2 La 0.000 0.500 0.500 1
Er1 Er 0.500 0.000 0.500 1
Er2 Er 0.000 0.500 0.000 1
S1 S 0.307 0.685 0.069 1
S2 S 0.807 0.815 0.569 1
S3 S 0.693 0.315 0.931 1
S4 S 0.193 0.185 0.431 1
S5 S 0.323 0.697 0.428 1
S6 S 0.823 0.803 0.928 1
S7 S 0.677 0.303 0.572 1
S8 S 0.177 0.197 0.072 1
S9 S 0.862 0.554 0.242 1
S10 S 0.362 0.946 0.742 1
S11 S 0.138 0.446 0.758 1
S12 S 0.638 0.054 0.258 1
```

Results
For the formation energy without anion corrections, the calculation gives -2.146 eV per atom. The value obtained for the total DFT energy (no corrections) is -127.87 eV per cell. The value obtained for the density of states at the Fermi level is 0.0 states/eV per cell.

No. 2
Density functional theory data (PBE) for AcLa2ErSb4 after structural relaxation.

The structure in CIF format:
```
data_AcLa2ErSb4
_chemical_formula_sum 'Ac1 La2 Er1 Sb4'
_symmetry_space_group_name_H-M 'P 1'
_symmetry_Int_Tables_number 1
_cell_length_a 4.616
_cell_length_b 7.976
_cell_length_c 7.980
_cell_angle_alpha 70.54
_cell_angle_beta 90.00
_cell_angle_gamma 90.00
loop_
_symmetry_equiv_pos_as_xyz
'x,y,z'
loop_
_atom_site_label
_atom_site_type_symbol
_atom_site_fract_x
_atom_site_fract_y
_atom_site_fract_z
_atom_site_occupancy
Ac1 Ac 0.500 0.500 0.000 1
La1 La 0.000 0.000 0.000 1
La2 La 0.500 0.000 0.500 1
Er1 Er 0.000 0.500 0.500 1
Sb1 Sb 0.000 0.752 0.738 1
Sb2 Sb 0.000 0.248 0.262 1
Sb3 Sb 0.500 0.743 0.264 1
Sb4 Sb 0.500 0.257 0.736 1
```

Results
For the formation energy without anion corrections, the calculation gives -1.184 eV per atom. The value obtained for the total DFT energy (no corrections) is -44.49 eV per cell. The value obtained for the density of states at the Fermi level is 0.8 states/eV per cell.

No. 3
Density functional theory data (PBE) for AcLaErSc after structural relaxation.

The structure in CIF format:
```
data_AcLaErSc
_chemical_formula_sum 'Ac1 La1 Er1 Sc1'
_symmetry_space_group_name_H-M 'P 1'
_symmetry_Int_Tables_number 1
_cell_length_a 5.771
_cell_length_b 5.771
_cell_length_c 5.771
_cell_angle_alpha 60.00
_cell_angle_beta 60.00
_cell_angle_gamma 60.00
loop_
_symmetry_equiv_pos_as_xyz
'x,y,z'
loop_
_atom_site_label
_atom_site_type_symbol
_atom_site_fract_x
_atom_site_fract_y
_atom_site_fract_z
_atom_site_occupancy
Sc1 Sc 0.000 0.000 0.000 1
Ac1 Ac 0.750 0.750 0.750 1
La1 La 0.250 0.250 0.250 1
Er1 Er 0.500 0.500 0.500 1
```

Results
The value obtained for the total DFT energy (no corrections) is -19.56 eV per cell. The value obtained for the formation energy is 8.9 kJ/mol of atoms. The value obtained for the density of states at the Fermi level is 6.5 states/eV per cell.

No. 4
Density functional theory data (PBE) for Ac3La2ErSe6 after structural relaxation.

The structure in CIF format:
```
data_Ac3La2ErSe6
_chemical_formula_sum 'Ac3 La2 Er1 Se6'
_symmetry_space_group_name_H-M 'P 1'
_symmetry_Int_Tables_number 1
_cell_length_a 7.501
_cell_length_b 7.501
_cell_length_c 7.576
_cell_angle_alpha 99.54
_cell_angle_beta 99.54
_cell_angle_gamma 120.13
loop_
_symmetry_equiv_pos_as_xyz
'x,y,z'
loop_
_atom_site_label
_atom_site_type_symbol
_atom_site_fract_x
_atom_site_fract_y
_atom_site_fract_z
_atom_site_occupancy
Ac1 Ac 0.172 0.828 0.500 1
Ac2 Ac 0.828 0.172 0.500 1
Ac3 Ac 0.500 0.500 0.500 1
La1 La 0.334 0.666 0.000 1
La2 La 0.666 0.334 0.000 1
Er1 Er 0.000 0.000 0.000 1
Se1 Se 0.924 0.604 0.771 1
Se2 Se 0.760 0.760 0.236 1
Se3 Se 0.076 0.396 0.229 1
Se4 Se 0.604 0.924 0.771 1
Se5 Se 0.240 0.240 0.764 1
Se6 Se 0.396 0.076 0.229 1
```

Results
For the formation energy without anion corrections, the calculation gives -1.874 eV per atom. The value obtained for the total DFT energy (no corrections) is -70.14 eV per cell. The value obtained for the density of states at the Fermi level is 6.3 states/eV per cell.

No. 5
Density functional theory data (PBE) for AcLa2ErSe5 after structural relaxation.

The structure in CIF format:
```
data_AcLa2ErSe5
_chemical_formula_sum 'Ac1 La2 Er1 Se5'
_symmetry_space_group_name_H-M 'P 1'
_symmetry_Int_Tables_number 1
_cell_length_a 5.127
_cell_length_b 5.127
_cell_length_c 11.350
_cell_angle_alpha 90.00
_cell_angle_beta 90.00
_cell_angle_gamma 90.00
loop_
_symmetry_equiv_pos_as_xyz
'x,y,z'
loop_
_atom_site_label
_atom_site_type_symbol
_atom_site_fract_x
_atom_site_fract_y
_atom_site_fract_z
_atom_site_occupancy
Ac1 Ac 0.000 0.000 0.000 1
La1 La 0.500 0.500 0.332 1
La2 La 0.500 0.500 0.668 1
Er1 Er 0.000 0.000 0.500 1
Se1 Se 0.000 0.500 0.500 1
Se2 Se 0.500 0.000 0.500 1
Se3 Se 0.000 0.000 0.743 1
Se4 Se 0.000 0.000 0.257 1
Se5 Se 0.500 0.500 0.000 1
```

Results
For the formation energy without anion corrections, the calculation gives -1.525 eV per atom. The value obtained for the total DFT energy (no corrections) is -49.67 eV per cell. The value obtained for the density of states at the Fermi level is 4.2 states/eV per cell.

No. 6
Density functional theory data (PBE) for AcLa2ErSe6 after structural relaxation.

The structure in CIF format:
```
data_AcLa2ErSe6
_chemical_formula_sum 'Ac1 La2 Er1 Se6'
_symmetry_space_group_name_H-M 'P 1'
_symmetry_Int_Tables_number 1
_cell_length_a 7.591
_cell_length_b 7.591
_cell_length_c 7.956
_cell_angle_alpha 61.50
_cell_angle_beta 61.50
_cell_angle_gamma 60.00
loop_
_symmetry_equiv_pos_as_xyz
'x,y,z'
loop_
_atom_site_label
_atom_site_type_symbol
_atom_site_fract_x
_atom_site_fract_y
_atom_site_fract_z
_atom_site_occupancy
Ac1 Ac 0.810 0.810 0.571 1
La1 La 0.523 0.523 0.431 1
La2 La 0.016 0.016 0.951 1
Er1 Er 0.319 0.319 0.044 1
Se1 Se 0.598 0.213 0.250 1
Se2 Se 0.213 0.940 0.250 1
Se3 Se 0.940 0.598 0.250 1
Se4 Se 0.403 0.705 0.756 1
Se5 Se 0.705 0.135 0.756 1
Se6 Se 0.135 0.403 0.756 1
```

Results
For the formation energy without anion corrections, the calculation gives -1.933 eV per atom. The value obtained for the total DFT energy (no corrections) is -58.77 eV per cell. The value obtained for the density of states at the Fermi level is 0.0 states/eV per cell.

No. 7
Density functional theory data (PBE) for AcLa2SmEr5 after structural relaxation.

The structure in CIF format:
```
data_AcLa2SmEr5
_chemical_formula_sum 'Ac2 La4 Sm2 Er10'
_symmetry_space_group_name_H-M 'P 1'
_symmetry_Int_Tables_number 1
_cell_length_a 8.785
_cell_length_b 8.785
_cell_length_c 10.076
_cell_angle_alpha 115.84
_cell_angle_beta 115.84
_cell_angle_gamma 90.00
loop_
_symmetry_equiv_pos_as_xyz
'x,y,z'
loop_
_atom_site_label
_atom_site_type_symbol
_atom_site_fract_x
_atom_site_fract_y
_atom_site_fract_z
_atom_site_occupancy
Ac1 Ac 0.250 0.250 0.500 1
Ac2 Ac 0.750 0.750 0.500 1
La1 La 0.117 0.383 0.000 1
La2 La 0.617 0.117 0.000 1
La3 La 0.383 0.883 0.000 1
La4 La 0.883 0.617 0.000 1
Sm1 Sm 0.250 0.750 0.500 1
Sm2 Sm 0.750 0.250 0.500 1
Er1 Er 0.925 0.425 0.272 1
Er2 Er 0.653 0.153 0.728 1
Er3 Er 0.075 0.575 0.728 1
Er4 Er 0.153 0.075 0.728 1
Er5 Er 0.575 0.653 0.728 1
Er6 Er 0.847 0.925 0.272 1
Er7 Er 0.425 0.347 0.272 1
Er8 Er 0.347 0.847 0.272 1
Er9 Er 0.500 0.500 0.000 1
Er10 Er 0.000 0.000 0.000 1
```

Results
The value obtained for the total DFT energy (no corrections) is -78.57 eV per cell. The value obtained for the formation energy is 23.7 kJ/mol of atoms. The value obtained for the density of states at the Fermi level is 21.1 states/eV per cell.

No. 8
Density functional theory data (PBE) for AcLaSmEr after structural relaxation.

The structure in CIF format:
```
data_AcLaSmEr
_chemical_formula_sum 'Ac1 La1 Sm1 Er1'
_symmetry_space_group_name_H-M 'P 1'
_symmetry_Int_Tables_number 1
_cell_length_a 5.938
_cell_length_b 5.938
_cell_length_c 5.938
_cell_angle_alpha 60.00
_cell_angle_beta 60.00
_cell_angle_gamma 60.00
loop_
_symmetry_equiv_pos_as_xyz
'x,y,z'
loop_
_atom_site_label
_atom_site_type_symbol
_atom_site_fract_x
_atom_site_fract_y
_atom_site_fract_z
_atom_site_occupancy
Ac1 Ac 0.250 0.250 0.250 1
La1 La 0.500 0.500 0.500 1
Sm1 Sm 0.000 0.000 0.000 1
Er1 Er 0.750 0.750 0.750 1
```

Results
The value obtained for the total DFT energy (no corrections) is -17.63 eV per cell. The value obtained for the formation energy is 16.5 kJ/mol of atoms. The value obtained for the density of states at the Fermi level is 9.5 states/eV per cell.

No. 9
Density functional theory data (PBE) for Ac5La2SmEr after structural relaxation.

The structure in CIF format:
```
data_Ac5La2SmEr
_chemical_formula_sum 'Ac10 La4 Sm2 Er2'
_symmetry_space_group_name_H-M 'P 1'
_symmetry_Int_Tables_number 1
_cell_length_a 8.529
_cell_length_b 8.529
_cell_length_c 11.870
_cell_angle_alpha 111.05
_cell_angle_beta 111.05
_cell_angle_gamma 90.00
loop_
_symmetry_equiv_pos_as_xyz
'x,y,z'
loop_
_atom_site_label
_atom_site_type_symbol
_atom_site_fract_x
_atom_site_fract_y
_atom_site_fract_z
_atom_site_occupancy
Ac1 Ac 0.590 0.090 0.719 1
Ac2 Ac 0.871 0.371 0.281 1
Ac3 Ac 0.410 0.910 0.281 1
Ac4 Ac 0.371 0.410 0.281 1
Ac5 Ac 0.910 0.871 0.281 1
Ac6 Ac 0.629 0.590 0.719 1
Ac7 Ac 0.090 0.129 0.719 1
Ac8 Ac 0.129 0.629 0.719 1
Ac9 Ac 0.500 0.500 0.000 1
Ac10 Ac 0.000 0.000 0.000 1
La1 La 0.379 0.121 0.000 1
La2 La 0.879 0.379 0.000 1
La3 La 0.121 0.621 0.000 1
La4 La 0.621 0.879 0.000 1
Sm1 Sm 0.250 0.250 0.500 1
Sm2 Sm 0.750 0.750 0.500 1
Er1 Er 0.250 0.750 0.500 1
Er2 Er 0.750 0.250 0.500 1
```

Results
The value obtained for the total DFT energy (no corrections) is -74.58 eV per cell. The value obtained for the formation energy is 25.6 kJ/mol of atoms. The value obtained for the density of states at the Fermi level is 28.8 states/eV per cell.

No. 10
Density functional theory data (PBE) for Ac5LaSm2Er after structural relaxation.

The structure in CIF format:
```
data_Ac5LaSm2Er
_chemical_formula_sum 'Ac10 La2 Sm4 Er2'
_symmetry_space_group_name_H-M 'P 1'
_symmetry_Int_Tables_number 1
_cell_length_a 5.994
_cell_length_b 11.284
_cell_length_c 11.265
_cell_angle_alpha 90.00
_cell_angle_beta 90.00
_cell_angle_gamma 105.40
loop_
_symmetry_equiv_pos_as_xyz
'x,y,z'
loop_
_atom_site_label
_atom_site_type_symbol
_atom_site_fract_x
_atom_site_fract_y
_atom_site_fract_z
_atom_site_occupancy
Ac1 Ac 0.373 0.745 0.018 1
Ac2 Ac 0.724 0.449 0.823 1
Ac3 Ac 0.487 0.973 0.746 1
Ac4 Ac 0.298 0.596 0.704 1
Ac5 Ac 0.988 0.977 0.512 1
Ac6 Ac 0.627 0.255 0.518 1
Ac7 Ac 0.276 0.551 0.323 1
Ac8 Ac 0.513 0.027 0.246 1
Ac9 Ac 0.702 0.404 0.204 1
Ac10 Ac 0.012 0.023 0.012 1
La1 La 0.593 0.186 0.963 1
La2 La 0.407 0.814 0.463 1
Sm1 Sm 0.887 0.773 0.800 1
Sm2 Sm 0.117 0.233 0.744 1
Sm3 Sm 0.113 0.227 0.300 1
Sm4 Sm 0.883 0.767 0.244 1
Er1 Er 0.810 0.619 0.514 1
Er2 Er 0.190 0.381 0.014 1
```

Results
The value obtained for the total DFT energy (no corrections) is -76.16 eV per cell. The value obtained for the formation energy is 14.9 kJ/mol of atoms. The value obtained for the density of states at the Fermi level is 29.7 states/eV per cell.

No. 11
Density functional theory data (PBE) for AcLa6Sm2Er after structural relaxation.

The structure in CIF format:
```
data_AcLa6Sm2Er
_chemical_formula_sum 'Ac1 La6 Sm2 Er1'
_symmetry_space_group_name_H-M 'P 1'
_symmetry_Int_Tables_number 1
_cell_length_a 10.097
_cell_length_b 6.867
_cell_length_c 6.797
_cell_angle_alpha 120.34
_cell_angle_beta 112.33
_cell_angle_gamma 90.00
loop_
_symmetry_equiv_pos_as_xyz
'x,y,z'
loop_
_atom_site_label
_atom_site_type_symbol
_atom_site_fract_x
_atom_site_fract_y
_atom_site_fract_z
_atom_site_occupancy
Ac1 Ac 0.500 0.000 0.000 1
La1 La 0.423 0.646 0.292 1
La2 La 0.168 0.082 0.620 1
La3 La 0.832 0.462 0.380 1
La4 La 0.168 0.538 0.620 1
La5 La 0.832 0.918 0.380 1
La6 La 0.577 0.354 0.708 1
Sm1 Sm 0.188 0.065 0.131 1
Sm2 Sm 0.812 0.935 0.869 1
Er1 Er 0.000 0.500 0.000 1
```

Results
The value obtained for the total DFT energy (no corrections) is -45.89 eV per cell. The value obtained for the formation energy is 17.2 kJ/mol of atoms. The value obtained for the density of states at the Fermi level is 19.1 states/eV per cell.

No. 12
Density functional theory data (PBE) for AcLa3SmEr after structural relaxation.

The structure in CIF format:
```
data_AcLa3SmEr
_chemical_formula_sum 'Ac2 La6 Sm2 Er2'
_symmetry_space_group_name_H-M 'P 1'
_symmetry_Int_Tables_number 1
_cell_length_a 5.970
_cell_length_b 10.985
_cell_length_c 7.095
_cell_angle_alpha 91.35
_cell_angle_beta 90.00
_cell_angle_gamma 105.77
loop_
_symmetry_equiv_pos_as_xyz
'x,y,z'
loop_
_atom_site_label
_atom_site_type_symbol
_atom_site_fract_x
_atom_site_fract_y
_atom_site_fract_z
_atom_site_occupancy
Ac1 Ac 0.351 0.703 0.966 1
Ac2 Ac 0.649 0.297 0.034 1
La1 La 0.842 0.683 0.251 1
La2 La 0.781 0.562 0.714 1
La3 La 0.485 0.970 0.252 1
La4 La 0.219 0.438 0.286 1
La5 La 0.515 0.030 0.748 1
La6 La 0.158 0.317 0.749 1
Sm1 Sm 0.058 0.116 0.287 1
Sm2 Sm 0.942 0.884 0.713 1
Er1 Er 0.640 0.280 0.493 1
Er2 Er 0.360 0.720 0.507 1
```

Results
The value obtained for the total DFT energy (no corrections) is -54.20 eV per cell. The value obtained for the formation energy is 17.2 kJ/mol of atoms. The value obtained for the density of states at the Fermi level is 17.7 states/eV per cell.